No. 1
VASP calculation (PBE) on crystalline TlTcMo at its relaxed geometry.

Output
energy of formation: 1.40 eV/f.u.
calculated total energy: -7.389 eV per atom
relative energy among the computed polymorphs: 16.4 kJ/mol of atoms
density of states at the Fermi level: 5.6 states/eV per cell

a b c (Å): 3.039 4.382 9.581
angles (deg): 90.00 91.23 90.00
Space group Pm (No. 6)
Asymmetric unit:
Tl: 0.000 0.000 0.000 (multiplicity 1)
Tl: 0.001 0.500 0.755 (multiplicity 1)
Tc: 0.062 0.000 0.498 (multiplicity 1)
Tc: 0.473 0.500 0.489 (multiplicity 1)
Mo: 0.513 0.000 0.271 (multiplicity 1)
Mo: 0.991 0.500 0.263 (multiplicity 1)

=====

No. 2
VASP calculation (PBE) on crystalline ZnCdGa4 at its relaxed geometry.

Output
energy of formation: 0.35 eV/f.u.
calculated total energy: -2.324 eV per atom
relative energy among the computed polymorphs: 0.0 kJ/mol of atoms
density of states at the Fermi level: 6.0 states/eV per cell

a b c (Å): 8.294 11.160 5.264
angles (deg): 90.00 104.33 90.00
Space group C2/c (No. 15)
Asymmetric unit:
Zn: 0.000 0.029 0.250 (multiplicity 4)
Cd: 0.000 0.380 0.250 (multiplicity 4)
Ga: 0.142 0.181 0.627 (multiplicity 8)
Ga: 0.208 0.402 0.855 (multiplicity 8)